No. 1
DFT (GGA-PBE) results for PAuBr2 after structural relaxation.

relative energy among the computed polymorphs = 0 meV per atom

a = 4.6594 Å, b = 4.6594 Å, c = 8.1285 Å
α = 81.84°, β = 81.84°, γ = 45.73°
Positions (direct):
1 P 0.6203 0.6203 0.4443
2 Br 0.9000 0.9000 0.0858
3 Br 0.7213 0.7213 0.6809
4 Au 0.2584 0.2584 0.2891

No. 2
DFT (GGA-PBE) results for PAuBr2 after structural relaxation.

relative energy among the computed polymorphs = 718 meV per atom

a = 8.1371 Å, b = 8.1371 Å, c = 8.1371 Å
α = 152.73°, β = 152.73°, γ = 38.96°
Each line ends with the local moment (μB).
Positions (direct):
1 Au 0.7500 0.2500 0.5000  0.02
2 P 0.5000 0.5000 0.0000  0.43
3 Br 0.0000 0.0000 0.0000  0.06
4 Br 0.2500 0.7500 0.5000  0.02

No. 3
DFT (GGA-PBE) results for P2AuBr8 after structural relaxation.

DFT total energy = -2.72 eV per atom

a = 8.6991 Å, b = 9.0586 Å, c = 9.0586 Å
α = 71.49°, β = 65.65°, γ = 65.65°
Each line ends with the local moment (μB).
Positions (direct):
1 Br 0.7477 0.0082 0.6764  0.03
2 Br 0.2523 0.9918 0.3236  0.03
3 Br 0.7575 0.1773 0.1773  0.19
4 Br 0.7477 0.6764 0.0082  0.03
5 Br 0.2183 0.3731 0.3731  0.01
6 Br 0.7817 0.6269 0.6269  0.01
7 Br 0.2425 0.8227 0.8227  0.19
8 Br 0.2523 0.3236 0.9918  0.03
9 Au 0.0000 0.0000 0.0000  0.18
10 P 0.3700 0.1959 0.1959  0.03
11 P 0.6300 0.8041 0.8041  0.03

No. 4
DFT (GGA-PBE) results for PAuBr2 after structural relaxation.

relative energy among the computed polymorphs = 358 meV per atom

a = 4.1221 Å, b = 4.1221 Å, c = 9.1945 Å
α = 90.00°, β = 90.00°, γ = 129.88°
Each line ends with the local moment (μB).
Positions (direct):
1 Br 0.5000 0.5000 0.3194  0.06
2 Br 0.0000 0.0000 0.9255  0.01
3 P 0.0000 0.0000 0.5399  0.29
4 Au 0.5000 0.5000 0.7152  0.08

No. 5
DFT (GGA-PBE) results for P4AuBr after structural relaxation.

DFT total energy = -3.96 eV per atom

a = 5.8119 Å, b = 5.8119 Å, c = 5.8119 Å
α = 60.00°, β = 60.00°, γ = 60.00°
Positions (direct):
1 Br 0.0000 0.0000 0.0000
2 P 0.3454 0.9638 0.3454
3 P 0.3454 0.3454 0.3454
4 P 0.9638 0.3454 0.3454
5 P 0.3454 0.3454 0.9638
6 Au 0.7500 0.7500 0.7500

No. 6
DFT (GGA-PBE) results for PAuBr2 after structural relaxation.

relative energy among the computed polymorphs = 195 meV per atom

a = 3.3497 Å, b = 3.6697 Å, c = 8.6271 Å
α = 90.00°, β = 90.00°, γ = 90.00°
Positions (direct):
1 P 0.0000 0.0000 0.6803
2 Br 0.5000 0.5000 0.2890
3 Br 0.0000 0.0000 0.9358
4 Au 0.5000 0.5000 0.5949

No. 7
DFT (GGA-PBE) results for PAuBr2 after structural relaxation.

relative energy among the computed polymorphs = 642 meV per atom

a = 8.9200 Å, b = 8.9200 Å, c = 8.9200 Å
α = 24.18°, β = 24.18°, γ = 24.18°
Positions (direct):
1 Br 0.9050 0.9050 0.9050
2 Br 0.0950 0.0950 0.0950
3 P 0.0000 0.0000 0.0000
4 Au 0.5000 0.5000 0.5000

No. 8
DFT (GGA-PBE) results for PAuBr after structural relaxation.

relative energy among the computed polymorphs = 719 meV per atom

a = 4.6021 Å, b = 4.6021 Å, c = 4.6021 Å
α = 60.00°, β = 60.00°, γ = 60.00°
Positions (direct):
1 Br 0.5000 0.5000 0.5000
2 Au 0.0000 0.0000 0.0000
3 P 0.2500 0.2500 0.2500

No. 9
DFT (GGA-PBE) results for PAuBr2 after structural relaxation.

relative energy among the computed polymorphs = 593 meV per atom

a = 3.3051 Å, b = 3.3051 Å, c = 8.8193 Å
α = 90.00°, β = 90.00°, γ = 90.00°
Positions (direct):
1 Br 0.5000 0.5000 0.3294
2 Br 0.0000 0.0000 0.9258
3 Au 0.5000 0.5000 0.6983
4 P 0.0000 0.0000 0.5465

No. 10
DFT (GGA-PBE) results for PAu3Br after structural relaxation.

relative energy among the computed polymorphs = 1042 meV per atom

a = 5.1188 Å, b = 5.1188 Å, c = 5.1188 Å
α = 90.00°, β = 90.00°, γ = 90.00°
Each line ends with the local moment (μB).
Positions (direct):
1 Br 0.0000 0.0000 0.0000  0.02
2 Au 0.0000 0.0000 0.5000  -0.04
3 Au 0.5000 0.0000 0.0000  0.07
4 Au 0.0000 0.5000 0.0000  0.02
5 P 0.5000 0.5000 0.5000  0.61

No. 11
DFT (GGA-PBE) results for PAuBr after structural relaxation.

relative energy among the computed polymorphs = 761 meV per atom

a = 4.6312 Å, b = 4.6312 Å, c = 4.6312 Å
α = 60.00°, β = 60.00°, γ = 60.00°
Each line ends with the local moment (μB).
Positions (direct):
1 P 0.5000 0.5000 0.5000  0.38
2 Au 0.2500 0.2500 0.2500  0.17
3 Br 0.0000 0.0000 0.0000  0.17

No. 12
DFT (GGA-PBE) results for PAuBr2 after structural relaxation.

relative energy among the computed polymorphs = 746 meV per atom

a = 6.6281 Å, b = 6.6281 Å, c = 6.6281 Å
α = 36.72°, β = 36.72°, γ = 36.72°
Positions (direct):
1 Br 0.9940 0.9940 0.9940
2 Br 0.5060 0.5060 0.5060
3 Au 0.7500 0.7500 0.7500
4 P 0.2500 0.2500 0.2500